No. 1
A plane-wave DFT calculation with PBE was carried out for an optimized crystal structure of Tm3Zn6Ga5.

a b c (Å): 4.202 12.381 9.638
angles (deg): 90.00 90.00 90.00
Space group Pmmn (No. 59, origin choice 2)
One atom of each set of equivalent atoms:
Tm 0.250 0.058 0.249
Tm 0.250 0.750 0.252
Zn 0.250 0.091 0.618
Zn 0.250 0.250 0.045
Zn 0.250 0.250 0.450
Zn 0.250 0.602 0.977
Ga 0.250 0.094 0.874
Ga 0.250 0.609 0.528
Ga 0.250 0.750 0.763

- Energy relative to the elements: -0.4114 eV/atom
- Calculated density: 8.3 g/cm3
- Energy: -41.952 eV per formula unit

---

No. 2
A plane-wave DFT calculation with PBE was carried out for an optimized crystal structure of LiMgSe3.

a b c (Å): 5.104 5.104 5.104
angles (deg): 90.00 90.00 90.00
Space group Pm-3m (No. 221)
One atom of each set of equivalent atoms:
Li 0.000 0.000 0.000
Mg 0.500 0.500 0.500
Se 0.000 0.500 0.500

- Formation energy without anion corrections: -0.21 eV per atom
- Offset from the most stable computed form: 0.0 meV per atom
- Calculated density: 3.3 g/cm3
- Energy: -15.020 eV per formula unit

---

No. 3
A plane-wave DFT calculation with PBE was carried out for an optimized crystal structure of BaHg2Pd5.

a b c (Å): 4.246 6.985 11.670
angles (deg): 90.00 90.00 90.00
Space group Immm (No. 71)
One atom of each set of equivalent atoms:
Ba 0.000 0.000 0.000
Hg 0.000 0.500 0.237
Pd 0.000 0.193 0.381
Pd 0.000 0.500 0.000

- Energy relative to the elements: -0.2476 eV/atom
- Calculated density: 10.3 g/cm3
- Energy: -30.472 eV per formula unit